A geometry-optimized CePmPd2 structure. Source: the Alexandria database, functional PBE-GGA.

Energy above the most stable polymorph in this dataset   0.00 eV per formula unit
Space-group type   Amm2, No. 38
Fermi-level density of states   7.5 states/eV/f.u.

Lattice parameters (Å, degrees): 3.825 4.604 5.776 90.00 109.31 90.00
Element x y z (fractional)
Ce 0.718 0.000 0.975
Pm 0.446 0.500 0.430
Pd 0.172 0.500 0.883
Pd 0.996 0.000 0.530